Entry 1:
Density functional theory data (GGA-PBE) for a geometry-optimized La3TiIr structure.

The space group is Pm-3m (No. 221) and the conventional cell measures 5.5818, 5.5818 and 5.5818 Å, with angles of 90.00, 90.00 and 90.00 degrees. Symmetry generates all atoms from La at (0.0000, 0.0000, 0.5000), Ti at (0.5000, 0.5000, 0.5000) and Ir at (0.0000, 0.0000, 0.0000).

Its density of states at the Fermi level is 14.0 states/eV/f.u. For the electronic total energy, the calculation gives -0.226 Ha/atom. As for the energy above the most stable polymorph in this dataset: 0.000 eV per atom. For the formation enthalpy at 0 K, the calculation gives 0.1597 eV/atom.


Entry 2:
Density functional theory data (GGA-PBE) for a geometry-optimized Cd2InAs2 structure.

The space group is I4/mmm (No. 139) and the conventional cell measures 4.2056, 4.2056 and 13.7423 Å, with angles of 90.00, 90.00 and 90.00 degrees. Symmetry generates all atoms from Cd at (0.0000, 0.0000, 0.1028), In at (0.0000, 0.0000, 0.5000) and As at (0.0000, 0.5000, 0.2500).

Its density of states at the Fermi level is 2.2 states/eV/f.u. For the electronic total energy, the calculation gives -0.097 Ha/atom. For the formation enthalpy at 0 K, the calculation gives 0.1428 eV/atom.


Entry 3:
Density functional theory data (GGA-PBE) for a geometry-optimized SiP2C structure.

The space group is P1 (No. 1) and the conventional cell measures 3.1548, 3.1549 and 9.0233 Å, with angles of 99.67, 90.26 and 120.00 degrees. Symmetry generates all atoms from Si at (0.0000, 0.0000, 0.0000), P at (0.4837, 0.9844, 0.4589), P at (0.8653, 0.7438, 0.6019) and C at (0.6673, 0.3346, 0.0019).

For the electronic total energy, the calculation gives -0.227 Ha/atom. As for the energy above the most stable polymorph in this dataset: 0.000 eV per atom. For the raw formation energy, the calculation gives 0.20 eV per atom.


Entry 4:
Density functional theory data (GGA-PBE) for a geometry-optimized Cd12Hg7Bi structure.

The space group is R-3 (No. 148, hexagonal axes) and the conventional cell measures 13.6560, 13.6560 and 9.1970 Å, with angles of 90.00, 90.00 and 120.00 degrees. Symmetry generates all atoms from Cd at (0.0386, 0.7910, 0.0894), Cd at (0.0661, 0.8204, 0.4283), Hg at (0.0000, 0.0000, 0.5000), Hg at (0.0459, 0.8361, 0.7606) and Bi at (0.0000, 0.0000, 0.0000).

Its density of states at the Fermi level is 6.5 states/eV/f.u. For the electronic total energy, the calculation gives -0.030 Ha/atom. For the formation enthalpy at 0 K, the calculation gives 0.0456 eV/atom.


Entry 5:
Density functional theory data (GGA-PBE) for a geometry-optimized Ag2MoCl structure.

The space group is Amm2 (No. 38) and the conventional cell measures 4.2809, 2.8492 and 11.6198 Å, with angles of 90.00, 90.00 and 90.00 degrees. Symmetry generates all atoms from Ag at (0.0000, 0.0000, 0.0000), Ag at (0.5000, 0.0000, 0.3828), Mo at (0.0000, 0.0000, 0.7439) and Cl at (0.5000, 0.0000, 0.6545).

Its density of states at the Fermi level is 2.0 states/eV/f.u. For the electronic total energy, the calculation gives -0.156 Ha/atom. As for the energy above the most stable polymorph in this dataset: 0.249 eV per atom. For the raw formation energy, the calculation gives 0.36 eV per atom.


Entry 6:
Density functional theory data (GGA-PBE) for a geometry-optimized Dy6GeSb2Se3 structure.

The space group is C2/m (No. 12) and the conventional cell measures 18.3204, 4.2109 and 8.4083 Å, with angles of 90.00, 102.66 and 90.00 degrees. Symmetry generates all atoms from Dy at (0.0020, 0.0000, 0.2652), Dy at (0.1598, 0.5000, 0.5730), Dy at (0.1623, 0.5000, 0.0893), Ge at (0.0000, 0.5000, 0.5000), Sb at (0.1676, 0.0000, 0.8347), Se at (0.0000, 0.5000, 0.0000) and Se at (0.1686, 0.0000, 0.3346).

Its density of states at the Fermi level is 3.6 states/eV/f.u. For the electronic total energy, the calculation gives -0.209 Ha/atom. For the raw formation energy, the calculation gives -1.44 eV per atom.


Entry 7:
Density functional theory data (GGA-PBE) for a geometry-optimized Tl2ZnAg2F6 structure.

The space group is C2/m (No. 12) and the conventional cell measures 11.0870, 5.8397 and 7.4054 Å, with angles of 90.00, 124.32 and 90.00 degrees. Symmetry generates all atoms from Tl at (0.2328, 0.0000, 0.2909), Zn at (0.0000, 0.0000, 0.5000), Ag at (0.0867, 0.5000, 0.9025), F at (0.0692, 0.2447, 0.3722) and F at (0.2097, 0.0000, 0.7729).

Its density of states at the Fermi level is 0.0 states/eV/f.u. For the electronic total energy, the calculation gives -0.136 Ha/atom. For the raw formation energy, the calculation gives -1.63 eV per atom.


Entry 8:
Density functional theory data (GGA-PBE) for a geometry-optimized CePmCdPb structure.

The space group is I-4m2 (No. 119) and the conventional cell measures 5.0655, 5.0655 and 8.9413 Å, with angles of 90.00, 90.00 and 90.00 degrees. Symmetry generates all atoms from Ce at (0.0000, 0.0000, 0.0000), Pm at (0.0000, 0.0000, 0.5000), Cd at (0.0000, 0.5000, 0.2500) and Pb at (0.0000, 0.5000, 0.7500).

Its density of states at the Fermi level is 9.2 states/eV/f.u. For the electronic total energy, the calculation gives -0.153 Ha/atom. As for the energy above the most stable polymorph in this dataset: 0.000 eV per atom. For the formation enthalpy at 0 K, the calculation gives -0.3469 eV/atom.


Entry 9:
Density functional theory data (GGA-PBE) for a geometry-optimized AsPb2Br structure.

The space group is R-3m (No. 166, hexagonal axes) and the conventional cell measures 4.4009, 4.4009 and 22.5143 Å, with angles of 90.00, 90.00 and 120.00 degrees. Symmetry generates all atoms from As at (0.0000, 0.0000, 0.0000), Pb at (0.0000, 0.0000, 0.2631) and Br at (0.0000, 0.0000, 0.5000).

Its density of states at the Fermi level is 0.2 states/eV/f.u. For the electronic total energy, the calculation gives -0.141 Ha/atom. As for the energy above the most stable polymorph in this dataset: 0.000 eV per atom. For the raw formation energy, the calculation gives -0.40 eV per atom.


Entry 10:
Density functional theory data (GGA-PBE) for a geometry-optimized Th2Cu2Te structure.

The space group is C2/m (No. 12) and the conventional cell measures 7.4728, 4.2883 and 8.1912 Å, with angles of 90.00, 107.85 and 90.00 degrees. Symmetry generates all atoms from Th at (0.0763, 0.0000, 0.2282), Cu at (0.1668, 0.5000, 0.0011) and Te at (0.0000, 0.5000, 0.5000).

Its density of states at the Fermi level is 5.1 states/eV/f.u. For the electronic total energy, the calculation gives -0.213 Ha/atom. For the raw formation energy, the calculation gives -0.55 eV per atom.


Entry 11:
Density functional theory data (GGA-PBE) for a geometry-optimized NaPr2UAs4 structure.

The space group is P2/m (No. 10) and the conventional cell measures 7.2731, 4.2390 and 7.2931 Å, with angles of 90.00, 108.68 and 90.00 degrees. Symmetry generates all atoms from Na at (0.0000, 0.0000, 0.0000), Pr at (0.5000, 0.0000, 0.5000), Pr at (0.5000, 0.5000, 0.0000), U at (0.0000, 0.5000, 0.5000), As at (0.2344, 0.0000, 0.7353) and As at (0.2370, 0.5000, 0.2687).

Its density of states at the Fermi level is 5.6 states/eV/f.u. For the electronic total energy, the calculation gives -0.222 Ha/atom. For the formation enthalpy at 0 K, the calculation gives -0.9420 eV/atom.


Entry 12:
Density functional theory data (GGA-PBE) for a geometry-optimized Ce2HoZn6 structure.

The space group is P6/mmm (No. 191) and the conventional cell measures 7.9250, 7.9250 and 3.3810 Å, with angles of 90.00, 90.00 and 120.00 degrees. Symmetry generates all atoms from Ce at (0.3333, 0.6667, 0.0000), Ho at (0.0000, 0.0000, 0.0000) and Zn at (0.0000, 0.3292, 0.5000).

Its density of states at the Fermi level is 13.6 states/eV/f.u. For the electronic total energy, the calculation gives -0.110 Ha/atom. For the formation enthalpy at 0 K, the calculation gives -0.3078 eV/atom.